[1]
# La5PmIn6

An optimized crystal structure of La5PmIn6 (PBE, Alexandria via LeMat-Bulk).

Cell: 9.654 9.654 5.568 Å, 106.74 106.74 120.19°
Fractional positions:
La (0.000, 0.000, 0.000)
La (0.164, 0.836, 0.500)
La (0.328, 0.672, 0.000)
La (0.672, 0.328, 0.000)
La (0.836, 0.164, 0.500)
Pm (0.500, 0.500, 0.500)
In (0.093, 0.420, 0.257)
In (0.262, 0.262, 0.763)
In (0.420, 0.093, 0.257)
In (0.580, 0.907, 0.743)
In (0.738, 0.738, 0.237)
In (0.907, 0.580, 0.743)

Results
total DFT energy (no corrections) = -52.0 eV per formula unit
M_tot = 0.0 μB per formula unit
ΔE_f = -0.511 eV per atom


[2]
# La5PmIn3

An optimized crystal structure of La5PmIn3 (PBE, Alexandria via LeMat-Bulk).

Cell: 9.739 9.739 7.078 Å, 90.00 90.00 59.98°
Fractional positions:
La (0.162, 0.500, 0.250)
La (0.162, 0.838, 0.750)
La (0.167, 0.167, 0.000)
La (0.167, 0.167, 0.500)
La (0.500, 0.162, 0.750)
La (0.500, 0.838, 0.250)
La (0.833, 0.833, 0.000)
La (0.833, 0.833, 0.500)
La (0.838, 0.162, 0.250)
La (0.838, 0.500, 0.750)
Pm (0.500, 0.500, 0.000)
Pm (0.500, 0.500, 0.500)
In (0.173, 0.500, 0.750)
In (0.173, 0.827, 0.250)
In (0.500, 0.173, 0.250)
In (0.500, 0.827, 0.750)
In (0.827, 0.173, 0.750)
In (0.827, 0.500, 0.250)

Results
total DFT energy (no corrections) = -40.8 eV per formula unit
M_tot = 0.0 μB per formula unit
ΔE_f = -0.359 eV per atom


[3]
# La2Pm8In

An optimized crystal structure of La2Pm8In (PBE, Alexandria via LeMat-Bulk).

Cell: 9.599 9.599 8.099 Å, 104.58 104.58 30.76°
Fractional positions:
La (0.223, 0.223, 0.133)
La (0.777, 0.777, 0.867)
Pm (0.043, 0.043, 0.229)
Pm (0.136, 0.136, 0.675)
Pm (0.323, 0.323, 0.593)
Pm (0.412, 0.412, 0.060)
Pm (0.588, 0.588, 0.940)
Pm (0.677, 0.677, 0.407)
Pm (0.864, 0.864, 0.325)
Pm (0.957, 0.957, 0.771)
In (0.500, 0.500, 0.500)

Results
total DFT energy (no corrections) = -51.3 eV per formula unit
M_tot = 0.0 μB per formula unit
ΔE_f = -0.061 eV per atom


[4]
# La4Pm3In4

An optimized crystal structure of La4Pm3In4 (PBE, Alexandria via LeMat-Bulk).

Cell: 11.247 11.247 11.247 Å, 160.92 129.53 54.44°
Fractional positions:
La (0.006, 0.836, 0.169)
La (0.333, 0.164, 0.169)
La (0.667, 0.836, 0.831)
La (0.994, 0.164, 0.831)
Pm (0.000, 0.500, 0.500)
Pm (0.407, 0.407, 0.000)
Pm (0.593, 0.593, 0.000)
In (0.278, 0.778, 0.500)
In (0.280, 0.000, 0.280)
In (0.720, 0.000, 0.720)
In (0.722, 0.222, 0.500)

Results
total DFT energy (no corrections) = -48.6 eV per formula unit
M_tot = 0.0 μB per formula unit
ΔE_f = -0.339 eV per atom


[5]
# La4Pm15In

An optimized crystal structure of La4Pm15In (PBE, Alexandria via LeMat-Bulk).

Cell: 5.123 5.123 25.996 Å, 90.00 90.00 90.00°
Fractional positions:
La (0.000, 0.000, 0.101)
La (0.000, 0.000, 0.303)
La (0.000, 0.000, 0.697)
La (0.000, 0.000, 0.899)
Pm (0.000, 0.500, 0.000)
Pm (0.000, 0.500, 0.203)
Pm (0.000, 0.500, 0.406)
Pm (0.000, 0.500, 0.594)
Pm (0.000, 0.500, 0.797)
Pm (0.500, 0.000, 0.000)
Pm (0.500, 0.000, 0.203)
Pm (0.500, 0.000, 0.406)
Pm (0.500, 0.000, 0.594)
Pm (0.500, 0.000, 0.797)
Pm (0.500, 0.500, 0.102)
Pm (0.500, 0.500, 0.306)
Pm (0.500, 0.500, 0.500)
Pm (0.500, 0.500, 0.694)
Pm (0.500, 0.500, 0.898)
In (0.000, 0.000, 0.500)

Results
total DFT energy (no corrections) = -94.3 eV per formula unit
M_tot = 0.0 μB per formula unit
ΔE_f = -0.032 eV per atom


[6]
# La6PmIn5

An optimized crystal structure of La6PmIn5 (PBE, Alexandria via LeMat-Bulk).

Cell: 9.447 9.447 9.447 Å, 148.32 120.94 68.58°
Fractional positions:
La (0.067, 0.327, 0.739)
La (0.234, 0.000, 0.234)
La (0.412, 0.673, 0.739)
La (0.588, 0.327, 0.261)
La (0.766, 0.000, 0.766)
La (0.933, 0.673, 0.261)
Pm (0.500, 0.500, 0.000)
In (0.000, 0.500, 0.500)
In (0.171, 0.171, 0.000)
In (0.346, 0.846, 0.500)
In (0.654, 0.154, 0.500)
In (0.829, 0.829, 0.000)

Results
total DFT energy (no corrections) = -53.0 eV per formula unit
M_tot = 0.0 μB per formula unit
ΔE_f = -0.412 eV per atom